Entry 1:
## AcPmCu2 (PBE-GGA)

Data for a relaxed structure of AcPmCu2.

Cell lengths 3.688, 3.688, 7.314 Å; angles 90.00, 90.00, 90.00 degrees
Positions (direct):
1 Ac 0.500 0.500 0.500
2 Pm 0.500 0.500 0.000
3 Cu 0.000 0.000 0.780
4 Cu 0.000 0.000 0.220

Properties
Energy above the lowest structure with this stoichiometry (meV/atom): 29
N(E_F) (states/eV per atom): 0.674
DFT formation energy (eV per atom): -0.1209

---

Entry 2:
## AcPm2Cu (PBE-GGA)

Data for a relaxed structure of AcPm2Cu.

Cell lengths 3.689, 3.689, 9.040 Å; angles 90.00, 90.00, 90.00 degrees
Positions (direct):
1 Pm 0.000 0.000 0.186
2 Pm 0.000 0.000 0.814
3 Cu 0.500 0.500 0.000
4 Ac 0.500 0.500 0.500

Properties
Energy above the lowest structure with this stoichiometry (meV/atom): 2
N(E_F) (states/eV per atom): 1.001
DFT formation energy (eV per atom): -0.0432

---

Entry 3:
## AcPm2Cu (PBE-GGA)

Data for a relaxed structure of AcPm2Cu.

Cell lengths 5.154, 6.618, 7.852 Å; angles 90.00, 90.00, 112.89 degrees
Positions (direct):
1 Ac 0.953 0.905 0.250
2 Pm 0.650 0.300 0.030
3 Pm 0.350 0.700 0.970
4 Cu 0.797 0.592 0.750
5 Pm 0.650 0.300 0.470
6 Cu 0.203 0.408 0.250
7 Ac 0.047 0.095 0.750
8 Pm 0.350 0.700 0.530

Properties
Energy above the lowest structure with this stoichiometry (meV/atom): 4
N(E_F) (states/eV per atom): 1.183
DFT formation energy (eV per atom): -0.0416

---

Entry 4:
## AcPm2Cu (PBE-GGA)

Data for a relaxed structure of AcPm2Cu.

Cell lengths 5.561, 5.561, 5.561 Å; angles 60.00, 60.00, 60.00 degrees
Positions (direct):
1 Pm 0.750 0.750 0.750
2 Cu 0.500 0.500 0.500
3 Pm 0.250 0.250 0.250
4 Ac 0.000 0.000 0.000

Properties
Energy above the lowest structure with this stoichiometry (meV/atom): 364
N(E_F) (states/eV per atom): 1.763
DFT formation energy (eV per atom): 0.3192

---

Entry 5:
## AcPm2Cu (PBE-GGA)

Data for a relaxed structure of AcPm2Cu.

Cell lengths 3.972, 3.972, 9.958 Å; angles 78.50, 78.50, 60.00 degrees
Positions (direct):
1 Ac 0.501 0.501 0.497
2 Cu 0.666 0.666 0.003
3 Pm 0.061 0.061 0.817
4 Pm 0.272 0.272 0.184

Properties
Energy above the lowest structure with this stoichiometry (meV/atom): 110
N(E_F) (states/eV per atom): 1.486
DFT formation energy (eV per atom): 0.0647

---

Entry 6:
## Ac2PmCu (PBE-GGA)

Data for a relaxed structure of Ac2PmCu.

Cell lengths 3.820, 3.820, 12.110 Å; angles 80.93, 80.93, 60.00 degrees
Positions (direct):
1 Ac 0.081 0.081 0.756
2 Cu 0.000 0.000 0.000
3 Pm 0.500 0.500 0.500
4 Ac 0.919 0.919 0.244

Properties
Energy above the lowest structure with this stoichiometry (meV/atom): 475
N(E_F) (states/eV per atom): 1.151
DFT formation energy (eV per atom): 0.4602

---

Entry 7:
## AcPmCu2 (PBE-GGA)

Data for a relaxed structure of AcPmCu2.

Cell lengths 5.219, 5.219, 5.219 Å; angles 60.00, 60.00, 60.00 degrees
Positions (direct):
1 Cu 0.250 0.250 0.250
2 Pm 0.000 0.000 0.000
3 Ac 0.500 0.500 0.500
4 Cu 0.750 0.750 0.750

Properties
Energy above the lowest structure with this stoichiometry (meV/atom): 55
N(E_F) (states/eV per atom): 0.594
DFT formation energy (eV per atom): -0.0954

---

Entry 8:
## Ac4PmCu5 (PBE-GGA)

Data for a relaxed structure of Ac4PmCu5.

Cell lengths 3.746, 3.746, 18.853 Å; angles 90.00, 90.00, 90.00 degrees
Positions (direct):
1 Cu 0.500 0.500 0.083
2 Pm 0.000 0.000 0.000
3 Ac 0.000 0.000 0.602
4 Cu 0.500 0.500 0.295
5 Ac 0.000 0.000 0.806
6 Cu 0.500 0.500 0.705
7 Cu 0.500 0.500 0.917
8 Ac 0.000 0.000 0.398
9 Cu 0.500 0.500 0.500
10 Ac 0.000 0.000 0.194

Properties
N(E_F) (states/eV per atom): 0.632
DFT formation energy (eV per atom): -0.0984

---

Entry 9:
## AcPm2Cu (PBE-GGA)

Data for a relaxed structure of AcPm2Cu.

Cell lengths 6.641, 7.197, 10.490 Å; angles 90.00, 90.00, 90.00 degrees
Positions (direct):
1 Pm 0.672 0.816 0.557
2 Cu 0.094 0.397 0.250
3 Cu 0.594 0.103 0.750
4 Pm 0.828 0.316 0.943
5 Pm 0.828 0.316 0.557
6 Pm 0.172 0.684 0.057
7 Pm 0.328 0.184 0.057
8 Pm 0.172 0.684 0.443
9 Cu 0.406 0.897 0.250
10 Ac 0.139 0.976 0.750
11 Ac 0.861 0.024 0.250
12 Ac 0.639 0.524 0.250
13 Ac 0.361 0.476 0.750
14 Pm 0.328 0.184 0.443
15 Cu 0.906 0.603 0.750
16 Pm 0.672 0.816 0.943

Properties
Energy above the lowest structure with this stoichiometry (meV/atom): 0
N(E_F) (states/eV per atom): 1.172
DFT formation energy (eV per atom): -0.0453

---

Entry 10:
## AcPm2Cu (PBE-GGA)

Data for a relaxed structure of AcPm2Cu.

Cell lengths 3.783, 5.671, 5.671 Å; angles 90.00, 90.00, 90.00 degrees
Positions (direct):
1 Cu 0.500 0.000 0.000
2 Pm 0.000 0.500 0.000
3 Pm 0.000 0.000 0.500
4 Ac 0.500 0.500 0.500

Properties
Energy above the lowest structure with this stoichiometry (meV/atom): 293
N(E_F) (states/eV per atom): 1.492
DFT formation energy (eV per atom): 0.2478

---

Entry 11:
## AcPmCuPt (PBE-GGA)

Data for a relaxed structure of AcPmCuPt.

Cell lengths 5.220, 5.220, 5.220 Å; angles 60.00, 60.00, 60.00 degrees
Positions (direct):
1 Pm 0.000 0.000 0.000
2 Cu 0.250 0.250 0.250
3 Ac 0.500 0.500 0.500
4 Pt 0.750 0.750 0.750

Properties
Energy above the lowest structure with this stoichiometry (meV/atom): 86
N(E_F) (states/eV per atom): 0.770
DFT formation energy (eV per atom): -0.5697

---

Entry 12:
## AcPmCuPt (PBE-GGA)

Data for a relaxed structure of AcPmCuPt.

Cell lengths 4.039, 4.599, 5.935 Å; angles 90.00, 109.89, 90.00 degrees
Positions (direct):
1 Pm 0.866 0.500 0.732
2 Pt 0.422 0.000 0.844
3 Ac 0.141 0.000 0.281
4 Cu 0.571 0.500 0.143

Properties
Energy above the lowest structure with this stoichiometry (meV/atom): 0
N(E_F) (states/eV per atom): 0.837
DFT formation energy (eV per atom): -0.6558